1.
This record from Alexandria via LeMat-Bulk describes an optimized crystal structure of CrCuP2. The functional is PBEsol.

CIF file:
```
data_CrCuP2
_cell_length_a 3.1539
_cell_length_b 3.8471
_cell_length_c 8.8922
_cell_angle_alpha 90.00
_cell_angle_beta 90.00
_cell_angle_gamma 90.00
_symmetry_space_group_name_H-M 'C m m 2'
_symmetry_Int_Tables_number 35
loop_
_symmetry_equiv_pos_as_xyz
'x,y,z'
'-x,-y,z'
'-x,y,z'
'x,-y,z'
'x+1/2,y+1/2,z'
'-x+1/2,-y+1/2,z'
'-x+1/2,y+1/2,z'
'x+1/2,-y+1/2,z'
loop_
_atom_site_label
_atom_site_type_symbol
_atom_site_fract_x
_atom_site_fract_y
_atom_site_fract_z
_atom_site_occupancy
Cr1 Cr 0.0000 0.0000 0.0000 1
Cu1 Cu 0.0000 0.5000 0.2250 1
P1 P 0.0000 0.0000 0.4390 1
P2 P 0.0000 0.5000 0.8062 1
```

- formation energy from the elements (eV/atom) = 0.20
- calculated volume (Å³/f.u.) = 53.9

---

2.
This record from Alexandria via LeMat-Bulk describes an optimized crystal structure of CrCuP2. The functional is PBEsol.

CIF file:
```
data_CrCuP2
_cell_length_a 2.6271
_cell_length_b 2.6271
_cell_length_c 7.4825
_cell_angle_alpha 90.00
_cell_angle_beta 90.00
_cell_angle_gamma 90.00
_symmetry_space_group_name_H-M 'P 4 m m'
_symmetry_Int_Tables_number 99
loop_
_symmetry_equiv_pos_as_xyz
'x,y,z'
'-y,x,z'
'-x,-y,z'
'y,-x,z'
'-x,y,z'
'y,x,z'
'x,-y,z'
'-y,-x,z'
loop_
_atom_site_label
_atom_site_type_symbol
_atom_site_fract_x
_atom_site_fract_y
_atom_site_fract_z
_atom_site_occupancy
Cr1 Cr 0.0000 0.0000 0.0000 1
Cu1 Cu 0.5000 0.5000 0.2494 1
P1 P 0.0000 0.0000 0.4707 1
P2 P 0.5000 0.5000 0.7994 1
```

- formation energy from the elements (eV/atom) = 0.24
- calculated volume (Å³/f.u.) = 51.6